# GeAsF2

A relaxed structure of GeAsF2 (PBE, the Alexandria database).

Properties
**Symmetry**: I-42d (122)
**Theoretical density**: 4.732 g/cm3
**Raw formation energy**: -0.821 eV per atom

Lattice parameters (Å, degrees): 5.6126 5.6126 5.6126 103.12 103.12 123.09
Fractional positions:
Ge  0.0000  0.0000  0.0000
Ge  0.7500  0.2500  0.5000
As  0.2500  0.7500  0.5000
As  0.5000  0.5000  0.0000
F  0.0310  0.6250  0.9060
F  0.3750  0.2810  0.4060
F  0.7190  0.1250  0.0940
F  0.8750  0.9690  0.5940

# Ho5Er4Tm4

A relaxed structure of Ho5Er4Tm4 (PBE, the Alexandria database).

Properties
**Symmetry**: I4/m (87)
**Theoretical density**: 9.153 g/cm3
**Formation energy from the elements**: 0.0230 eV/atom

Lattice parameters (Å, degrees): 9.2576 9.2576 9.2576 94.09 94.09 149.02
Fractional positions:
Ho  0.0000  0.0000  0.0000
Ho  0.3075  0.4615  0.7690
Ho  0.4615  0.6925  0.1541
Ho  0.5385  0.3075  0.8459
Ho  0.6925  0.5385  0.2310
Er  0.0767  0.6155  0.6922
Er  0.3845  0.0767  0.4612
Er  0.6155  0.9233  0.5388
Er  0.9233  0.3845  0.3078
Tm  0.1542  0.2311  0.3853
Tm  0.2311  0.8458  0.0769
Tm  0.7689  0.1542  0.9231
Tm  0.8458  0.7689  0.6147

# BaNp4Cu3S12

A relaxed structure of BaNp4Cu3S12 (PBE, the Alexandria database).

Properties
**Symmetry**: Im-3 (204)
**Theoretical density**: 6.049 g/cm3
**Raw formation energy**: -0.930 eV per atom

Lattice parameters (Å, degrees): 8.3979 8.3979 8.3979 109.47 109.47 109.47
Fractional positions:
Ba  0.0000  0.0000  0.0000
Np  0.0000  0.0000  0.5000
Np  0.0000  0.5000  0.0000
Np  0.5000  0.0000  0.0000
Np  0.5000  0.5000  0.5000
Cu  0.0000  0.5000  0.5000
Cu  0.5000  0.0000  0.5000
Cu  0.5000  0.5000  0.0000
S  0.1505  0.8350  0.3155
S  0.1650  0.3155  0.4805
S  0.1650  0.6845  0.8495
S  0.3155  0.1505  0.8350
S  0.3155  0.4805  0.1650
S  0.4805  0.1650  0.3155
S  0.5195  0.8350  0.6845
S  0.6845  0.5195  0.8350
S  0.6845  0.8495  0.1650
S  0.8350  0.3155  0.1505
S  0.8350  0.6845  0.5195
S  0.8495  0.1650  0.6845

# Cu2SiTe

A relaxed structure of Cu2SiTe (PBE, the Alexandria database).

Properties
**Symmetry**: Cmmm (65)
**Theoretical density**: 6.599 g/cm3
**Raw formation energy**: 0.363 eV per atom

Lattice parameters (Å, degrees): 3.0651 3.0651 7.6622 90.00 90.00 98.73
Fractional positions:
Cu  0.0000  0.0000  0.1792
Cu  0.0000  0.0000  0.8208
Si  0.5000  0.5000  0.0000
Te  0.5000  0.5000  0.5000

# GePt3W

A relaxed structure of GePt3W (PBE, the Alexandria database).

Properties
**Symmetry**: Pm-3m (221)
**Theoretical density**: 14.374 g/cm3
**Formation energy from the elements**: 1.0671 eV/atom

Lattice parameters (Å, degrees): 4.5985 4.5985 4.5985 90.00 90.00 90.00
Fractional positions:
Ge  0.0000  0.0000  0.0000
Pt  0.0000  0.0000  0.5000
Pt  0.0000  0.5000  0.0000
Pt  0.5000  0.0000  0.0000
W  0.5000  0.5000  0.5000

# Cd2BiIr2

A relaxed structure of Cd2BiIr2 (PBE, the Alexandria database).

Properties
**Symmetry**: P4/mbm (127)
**Theoretical density**: 13.749 g/cm3
**Formation energy from the elements**: 0.2980 eV/atom

Lattice parameters (Å, degrees): 7.8967 7.8967 3.1694 90.00 90.00 90.00
Fractional positions:
Cd  0.1712  0.3288  0.0000
Cd  0.3288  0.8288  0.0000
Cd  0.6712  0.1712  0.0000
Cd  0.8288  0.6712  0.0000
Bi  0.0000  0.0000  0.5000
Bi  0.5000  0.5000  0.5000
Ir  0.1228  0.6228  0.5000
Ir  0.3772  0.1228  0.5000
Ir  0.6228  0.8772  0.5000
Ir  0.8772  0.3772  0.5000

# K2Cd2SeS2

A relaxed structure of K2Cd2SeS2 (PBE, the Alexandria database).

Properties
**Symmetry**: C2/m (12)
**Theoretical density**: 3.533 g/cm3
**Raw formation energy**: -0.856 eV per atom

Lattice parameters (Å, degrees): 7.3987 7.3987 8.3254 120.87 120.87 32.99
Fractional positions:
K  0.0534  0.0534  0.2639
K  0.9466  0.9466  0.7361
Cd  0.3004  0.3004  0.1883
Cd  0.6996  0.6996  0.8117
Se  0.5000  0.5000  0.5000
S  0.3248  0.3248  0.8889
S  0.6752  0.6752  0.1111

# HfScS2

A relaxed structure of HfScS2 (PBE, the Alexandria database).

Properties
**Symmetry**: R-3m (166)
**Theoretical density**: 6.851 g/cm3
**Raw formation energy**: -1.510 eV per atom

Lattice parameters (Å, degrees): 6.3790 6.3790 6.3790 33.31 33.31 33.31
Fractional positions:
Hf  0.0000  0.0000  0.0000
Sc  0.5000  0.5000  0.5000
S  0.2500  0.2500  0.2500
S  0.7500  0.7500  0.7500

# CrCu2Cl

A relaxed structure of CrCu2Cl (PBE, the Alexandria database).

Properties
**Symmetry**: R-3m (166)
**Theoretical density**: 5.870 g/cm3
**Raw formation energy**: 0.332 eV per atom

Lattice parameters (Å, degrees): 7.7027 7.7027 7.7027 22.89 22.89 22.89
Fractional positions:
Cr  0.0000  0.0000  0.0000
Cu  0.2508  0.2508  0.2508
Cu  0.7492  0.7492  0.7492
Cl  0.5000  0.5000  0.5000

# RbRuN3

A relaxed structure of RbRuN3 (PBE, the Alexandria database).

Properties
**Symmetry**: Pm-3m (221)
**Theoretical density**: 6.043 g/cm3
**Raw formation energy**: 1.025 eV per atom

Lattice parameters (Å, degrees): 3.9750 3.9750 3.9750 90.00 90.00 90.00
Fractional positions:
Rb  0.0000  0.0000  0.0000
Ru  0.5000  0.5000  0.5000
N  0.0000  0.5000  0.5000
N  0.5000  0.0000  0.5000
N  0.5000  0.5000  0.0000

# SrLi4Sn2Hg

A relaxed structure of SrLi4Sn2Hg (PBE, the Alexandria database).

Properties
**Symmetry**: R-3m (166)
**Theoretical density**: 5.097 g/cm3
**Formation energy from the elements**: -0.3914 eV/atom

Lattice parameters (Å, degrees): 9.3651 9.3651 9.3651 29.86 29.86 29.86
Fractional positions:
Sr  0.0000  0.0000  0.0000
Li  0.1329  0.1329  0.1329
Li  0.4032  0.4032  0.4032
Li  0.5968  0.5968  0.5968
Li  0.8671  0.8671  0.8671
Sn  0.2518  0.2518  0.2518
Sn  0.7482  0.7482  0.7482
Hg  0.5000  0.5000  0.5000

# ZrInMo2

A relaxed structure of ZrInMo2 (PBE, the Alexandria database).

Properties
**Symmetry**: C2/m (12)
**Theoretical density**: 8.957 g/cm3
**Formation energy from the elements**: 0.1949 eV/atom

Lattice parameters (Å, degrees): 5.5503 5.5503 2.8565 100.53 100.53 116.61
Fractional positions:
Zr  0.0000  0.0000  0.0000
In  0.5000  0.5000  0.0000
Mo  0.0000  0.5000  0.5000
Mo  0.5000  0.0000  0.5000